La2NiC2 | Alexandria | PBE | relaxed; crystal system = tetragonal; ΔE_f = 0.381 eV per atom; total magnetization = 0.00 μB per formula unit; uncorrected energy = -6.4360 eV per atom
1.0
-6.085 0.598 2.722
2.542 -1.489 6.009
0.634 3.608 0.625
La C Ni
4 4 2
direct
0.654 0.846 0.500 La
0.346 0.154 0.500 La
0.846 0.346 0.500 La
0.154 0.654 0.500 La
0.662 0.162 0.000 C
0.162 0.338 0.000 C
0.338 0.838 0.000 C
0.838 0.662 0.000 C
0.500 0.500 0.000 Ni
0.000 0.000 0.000 Ni

=====

BeCrRu2 | Alexandria | PBE | relaxed; crystal system = orthorhombic; ΔE_f = 0.289 eV per atom; total magnetization = 0.00 μB per formula unit; uncorrected energy = -7.6866 eV per atom
1.0
-1.753 -0.140 -1.893
0.632 -2.288 1.021
-5.999 0.798 5.497
Ru Be Cr
2 1 1
direct
0.000 0.000 0.987 Ru
0.500 0.500 0.277 Ru
0.000 0.000 0.503 Be
0.500 0.500 0.734 Cr

=====

ScCrIrRh | Alexandria | PBE | relaxed; crystal system = cubic; ΔE_f = -0.431 eV per atom; total magnetization = 3.25 μB per formula unit; uncorrected energy = -8.4726 eV per atom
1.0
4.438 0.000 0.000
2.219 3.843 0.000
2.219 1.281 3.623
Ir Sc Rh Cr
1 1 1 1
direct
0.750 0.750 0.750 Ir
0.500 0.500 0.500 Sc
0.250 0.250 0.250 Rh
0.000 0.000 0.000 Cr

=====

TbHoPt4 | Alexandria | PBE | relaxed; crystal system = cubic; ΔE_f = -1.125 eV per atom; total magnetization = 0.00 μB per formula unit; uncorrected energy = -6.6864 eV per atom
1.0
5.435 0.000 0.000
2.718 4.707 0.000
2.718 1.569 4.438
Tb Pt Ho
1 4 1
direct
0.000 0.000 0.000 Tb
0.625 0.625 0.625 Pt
0.625 0.125 0.625 Pt
0.125 0.625 0.625 Pt
0.625 0.625 0.125 Pt
0.250 0.250 0.250 Ho

=====

CeNiSb | Alexandria | PBE | relaxed; crystal system = trigonal; energy relative to the elements, uncorrected = -0.7679 eV/atom; total magnetization = 0.86 μB per formula unit; uncorrected energy = -6.0471 eV per atom
1.0
-3.134 -2.216 -1.551
0.443 -2.879 3.218
-2.648 3.405 0.483
Sb Ni Ce
1 1 1
direct
0.140 0.000 0.000 Sb
0.216 0.333 0.667 Ni
0.644 0.667 0.333 Ce

=====

Rb2GeNCl6 | Alexandria | PBE | relaxed; crystal system = tetragonal; energy relative to the elements, uncorrected = -0.6578 eV/atom; total magnetization = 2.05 μB per formula unit; uncorrected energy = -3.2536 eV per atom
1.0
7.785 0.000 0.000
0.000 7.785 0.000
3.892 3.892 4.547
N Rb Cl Ge
1 2 6 1
direct
0.500 0.500 0.000 N
0.250 0.750 0.500 Rb
0.750 0.250 0.500 Rb
0.221 0.779 0.000 Cl
0.730 0.730 0.540 Cl
0.779 0.221 0.000 Cl
0.779 0.779 0.000 Cl
0.270 0.270 0.460 Cl
0.221 0.221 0.000 Cl
0.000 0.000 0.000 Ge

=====

Li2BiO4 | Alexandria | PBE | relaxed; crystal system = orthorhombic; energy relative to the elements, uncorrected = -1.1856 eV/atom; total magnetization = 0.00 μB per formula unit; uncorrected energy = -5.1201 eV per atom
1.0
0.035 -3.098 2.834
4.117 0.825 -0.010
-1.223 6.184 6.774
O Bi Li
8 2 4
direct
0.500 0.000 0.666 O
0.149 0.426 0.500 O
0.000 0.500 0.166 O
0.574 0.851 0.000 O
0.500 0.000 0.334 O
0.851 0.574 0.500 O
0.426 0.149 0.000 O
0.000 0.500 0.834 O
0.500 0.500 0.250 Bi
0.500 0.500 0.750 Bi
0.766 0.101 0.500 Li
0.899 0.234 0.000 Li
0.101 0.766 0.000 Li
0.234 0.899 0.500 Li

=====

HgPtW2 | Alexandria | PBE | relaxed; crystal system = tetragonal; ΔE_f = 0.440 eV per atom; total magnetization = 0.00 μB per formula unit; uncorrected energy = -7.6217 eV per atom
1.0
4.937 0.006 0.000
1.526 4.695 0.000
-3.232 -2.350 2.899
Pt W Hg
1 2 1
direct
0.750 0.250 0.500 Pt
0.000 0.000 0.000 W
0.250 0.750 0.500 W
0.500 0.500 0.000 Hg